Li2Tl3MoF9 | GGA+U | optimized geometry

The structure in POSCAR format:
```
Li2Tl3MoF9
1.0
-3.786 -2.477 -3.944
4.422 -3.284 2.384
-4.652 -2.076 5.769
F Li Tl Mo
9 2 3 1
Cartesian
-5.582 -3.967 0.826
-0.813 -2.103 2.100
1.567 -3.870 3.383
2.211 -1.642 1.192
0.318 -2.880 -0.780
-0.470 -5.202 1.261
-1.893 -1.238 -1.972
-3.545 -2.634 2.948
-3.203 -5.734 2.108
-5.136 -4.569 3.232
1.120 -3.267 0.976
-1.677 -4.516 4.446
-2.338 -3.321 -0.237
0.000 0.000 0.000
-2.326 -1.038 2.884
```

Calculated values
Density of states at the Fermi level ... 0.00 states/eV/f.u.
E_tot ... -4.681 eV/atom
Calculated volume ... 16.0 Å³ per atom
Total moment ... 0.1331 μB/atom